Here is an optimized crystal structure of BeCdSi2P4 from the Open Quantum Materials Database. Energies are from GGA-PBE.

Geometry as POSCAR:
```
BeCdSi2P4
1.0
-1.904 -0.593 6.171
-2.202 5.769 1.982
-1.451 -3.523 -5.248
Be Cd P Si
1 1 4 2
Direct
0.000 0.000 0.000
0.250 0.750 0.500
0.662 0.152 0.042
0.380 0.338 0.490
0.848 0.889 0.510
0.111 0.620 0.958
0.500 0.500 0.000
0.750 0.250 0.500
```

=====

Here is an optimized crystal structure of TmAsPtO from the Open Quantum Materials Database. Energies are from GGA-PBE.

Geometry as POSCAR:
```
TmAsPtO
1.0
5.831 0.000 0.000
0.000 5.831 0.000
0.000 0.000 4.483
As O Pt Tm
2 2 2 2
Direct
0.750 0.750 0.015
0.250 0.250 0.985
0.750 0.250 0.000
0.250 0.750 0.000
0.250 0.250 0.484
0.750 0.750 0.516
0.750 0.250 0.500
0.250 0.750 0.500
```

=====

Here are the calculated VASP energy numbers, same order: -4.883; -6.183 (eV/atom).